A geometry-optimized Nb3Hg2Br9 structure. Source: Alexandria via LeMat-Bulk, functional PBE.

a b c (Å): 10.040 10.040 10.167
angles (deg): 100.36 100.36 119.86
Positions (direct):
Nb: 0.046 0.219 0.632
Nb: 0.127 0.127 0.371
Nb: 0.219 0.046 0.632
Nb: 0.781 0.954 0.368
Nb: 0.873 0.873 0.629
Nb: 0.954 0.781 0.368
Hg: 0.216 0.545 0.166
Hg: 0.455 0.784 0.834
Hg: 0.545 0.216 0.166
Hg: 0.784 0.455 0.834
Br: 0.097 0.889 0.188
Br: 0.109 0.515 0.808
Br: 0.111 0.903 0.812
Br: 0.208 0.417 0.503
Br: 0.208 0.792 0.500
Br: 0.301 0.301 0.201
Br: 0.320 0.320 0.815
Br: 0.417 0.208 0.503
Br: 0.485 0.891 0.192
Br: 0.515 0.109 0.808
Br: 0.583 0.792 0.497
Br: 0.680 0.680 0.185
Br: 0.699 0.699 0.799
Br: 0.792 0.208 0.500
Br: 0.792 0.583 0.497
Br: 0.889 0.097 0.188
Br: 0.891 0.485 0.192
Br: 0.903 0.111 0.812

Properties
total energy	-55.66	eV per formula unit
density of states at the Fermi level	0.3434	states/eV per atom
ΔE_f (raw)	-0.70	eV per atom


A geometry-optimized Tb3GaRu3 structure. Source: Alexandria via LeMat-Bulk, functional PBE.

a b c (Å): 5.617 5.617 13.432
angles (deg): 90.00 90.00 136.24
Positions (direct):
Tb: 0.011 0.989 0.750
Tb: 0.299 0.701 0.605
Tb: 0.299 0.701 0.895
Tb: 0.701 0.299 0.105
Tb: 0.701 0.299 0.395
Tb: 0.989 0.011 0.250
Ga: 0.000 0.000 0.000
Ga: 0.000 0.000 0.500
Ru: 0.281 0.719 0.250
Ru: 0.413 0.587 0.094
Ru: 0.413 0.587 0.406
Ru: 0.587 0.413 0.594
Ru: 0.587 0.413 0.906
Ru: 0.719 0.281 0.750

Properties
total energy	-47.80	eV per formula unit
density of states at the Fermi level	0.6934	states/eV per atom
calculated formation energy	-436	meV per atom


Q: Which of these has the highest total energy?
A: Tb3GaRu3


What did the second record say?
A geometry-optimized Tb3GaRu3 structure. Source: Alexandria via LeMat-Bulk, functional PBE.

a b c (Å): 5.617 5.617 13.432
angles (deg): 90.00 90.00 136.24
Positions (direct):
Tb: 0.011 0.989 0.750
Tb: 0.299 0.701 0.605
Tb: 0.299 0.701 0.895
Tb: 0.701 0.299 0.105
Tb: 0.701 0.299 0.395
Tb: 0.989 0.011 0.250
Ga: 0.000 0.000 0.000
Ga: 0.000 0.000 0.500
Ru: 0.281 0.719 0.250
Ru: 0.413 0.587 0.094
Ru: 0.413 0.587 0.406
Ru: 0.587 0.413 0.594
Ru: 0.587 0.413 0.906
Ru: 0.719 0.281 0.750

Properties
total energy	-47.80	eV per formula unit
density of states at the Fermi level	0.6934	states/eV per atom
calculated formation energy	-436	meV per atom


Q: Which formula does entry 2 have?
A: Tb3GaRu3


Q: Look up the density of states at the Fermi level of the second one.
A: 0.6934 states/eV per atom